Entry from Alexandria: crystalline ErTm2Pu3Te6 at its relaxed geometry (GGA-PBE).

Values from the calculation:
- raw formation energy (eV/atom) = -1.16

Cell lengths 4.3528, 8.7596, 9.7713 Å; angles 102.78, 102.87, 90.00 degrees
Atoms (fractional coordinates):
Er 0.5000 0.0000 0.0000
Te 0.3308 0.4198 0.6616
Te 0.6652 0.0908 0.3305
Te 0.9975 0.7540 0.9951
Te 0.0025 0.2460 0.0049
Te 0.3348 0.9092 0.6695
Te 0.6692 0.5802 0.3384
Pu 0.8336 0.1640 0.6672
Pu 0.5000 0.5000 0.0000
Pu 0.1664 0.8360 0.3328
Tm 0.8336 0.6637 0.6672
Tm 0.1664 0.3363 0.3328